(1)
# HoEr3Pu3S8 | the Alexandria database | GGA-PBE | optimized geometry
# Calculated density   8.13 g cm⁻³
# Space group   R-3m, No. 166
# Final energy   -8.2199 eV per atom
# Size of the total moment   1.136 μB per atom
# Formation energy from raw total energies   -1.934 eV per atom
data_HoEr3Pu3S8
_symmetry_space_group_name_H-M 'P 1'
_symmetry_Int_Tables_number 1
_symmetry_space_group_name_Hall 'P 1'
_cell_length_a 7.805
_cell_length_b 7.805
_cell_length_c 7.832
_cell_angle_alpha 119.89
_cell_angle_beta 90.00
_cell_angle_gamma 120.00
loop_
_atom_site_label
_atom_site_fract_x
_atom_site_fract_y
_atom_site_fract_z
Er1 0.500 0.000 0.500
S1 0.254 0.006 0.257
Pu1 0.500 0.500 0.000
S2 0.248 0.994 0.743
Er2 0.500 0.500 0.500
Pu2 0.000 0.500 0.000
S3 0.748 0.496 0.744
S4 0.752 0.006 0.257
S5 0.252 0.504 0.256
Pu3 0.000 0.000 0.000
Ho1 0.000 0.000 0.500
Er3 0.000 0.500 0.500
S6 0.248 0.497 0.743
S7 0.752 0.503 0.257
S8 0.746 0.994 0.743


(2)
# Ho3ErPu3S8 | the Alexandria database | GGA-PBE | optimized geometry
# Calculated density   8.06 g cm⁻³
# Space group   R-3m, No. 166
# Final energy   -8.2270 eV per atom
# Size of the total moment   1.134 μB per atom
# Formation energy from raw total energies   -1.940 eV per atom
data_Ho3ErPu3S8
_symmetry_space_group_name_H-M 'P 1'
_symmetry_Int_Tables_number 1
_symmetry_space_group_name_Hall 'P 1'
_cell_length_a 7.824
_cell_length_b 7.824
_cell_length_c 7.844
_cell_angle_alpha 119.91
_cell_angle_beta 90.00
_cell_angle_gamma 120.00
loop_
_atom_site_label
_atom_site_fract_x
_atom_site_fract_y
_atom_site_fract_z
Pu1 0.000 0.000 0.000
S1 0.748 0.995 0.743
Ho1 0.500 0.500 0.500
S2 0.753 0.505 0.257
S3 0.247 0.995 0.743
S4 0.247 0.495 0.743
S5 0.749 0.497 0.746
Pu2 0.500 0.500 0.000
S6 0.252 0.005 0.257
Ho2 0.000 0.500 0.500
Ho3 0.500 0.000 0.500
S7 0.753 0.005 0.257
Pu3 0.000 0.500 0.000
S8 0.251 0.503 0.254
Er1 0.000 0.000 0.500


(3)
# Ho3Er2PuS6 | the Alexandria database | GGA-PBE | optimized geometry
# Calculated density   8.44 g cm⁻³
# Space group   C2/m, No. 12
# Final energy   -7.1215 eV per atom
# Size of the total moment   0.492 μB per atom
# Formation energy from raw total energies   -1.959 eV per atom
data_Ho3Er2PuS6
_symmetry_space_group_name_H-M 'P 1'
_symmetry_Int_Tables_number 1
_symmetry_space_group_name_Hall 'P 1'
_cell_length_a 3.872
_cell_length_b 7.802
_cell_length_c 8.694
_cell_angle_alpha 102.95
_cell_angle_beta 102.87
_cell_angle_gamma 90.00
loop_
_atom_site_label
_atom_site_fract_x
_atom_site_fract_y
_atom_site_fract_z
Er1 0.836 0.672 0.672
S1 0.000 0.746 0.999
S2 0.331 0.914 0.662
Pu1 0.500 0.000 0.000
Ho1 0.835 0.164 0.671
S3 0.669 0.086 0.338
Ho2 0.165 0.836 0.329
S4 0.668 0.582 0.337
S5 0.000 0.254 0.001
S6 0.332 0.418 0.663
Ho3 0.500 0.500 0.000
Er2 0.164 0.328 0.328